(1)
Sr4TlIn | GGA-PBE | optimized geometry

Cell lengths 10.7015, 15.5207, 7.5265 Å; angles 90.00, 123.28, 90.00 degrees
With the nearest neighbours (Å) after each atom.
Space group C2/c (No. 15)
Symmetry-distinct sites (fractional):
Sr (0.1251, 0.1786, 0.0871) [8 per cell]  2 Tl 3.49-3.58, 2 In 3.55-3.56
Sr (0.1946, 0.4428, 0.2625) [8 per cell]  2 Tl 3.40-3.47, 2 In 3.46-3.64
Tl (0.0000, 0.0071, 0.2500) [4 per cell]  8 Sr 3.40-3.58, 2 Tl 3.77
In (0.0000, 0.3629, 0.7500) [4 per cell]  8 Sr 3.46-3.64

Results
- ΔE_f: -26 kJ/mol of atoms

(2)
Sr3Tl4In2 | GGA-PBE | optimized geometry

Cell lengths 5.1789, 6.6647, 9.8264 Å; angles 97.13, 105.23, 112.86 degrees
With the nearest neighbours (Å) after each atom.
Space group P-1 (No. 2)
Symmetry-distinct sites (fractional):
Sr (0.0000, 0.0000, 0.0000) [1 per cell]  8 Tl 3.50-3.87
Sr (0.0451, 0.4010, 0.6860) [2 per cell]  6 Tl 3.41-3.82, 4 In 3.51-3.79
Tl (0.3191, 0.2649, 0.3779) [2 per cell]  3 In 3.04-3.41, 1 Tl 3.21
Tl (0.3481, 0.6454, 0.0521) [2 per cell]  1 In 3.05, 2 Tl 3.15-3.16, 1 Sr 3.41
In (0.3323, 0.0043, 0.6550) [2 per cell]  4 Tl 3.04-3.41

Results
- ΔE_f: -33 kJ/mol of atoms

(3)
SrTlIn | GGA-PBE | optimized geometry

Cell lengths 5.1552, 8.1374, 9.0323 Å; angles 90.00, 90.00, 90.00 degrees
With the nearest neighbours (Å) after each atom.
Space group Imm2 (No. 44)
Symmetry-distinct sites (fractional):
Sr (0.0000, 0.0000, 0.0000) [2 per cell]  6 In 3.54-3.65, 6 Tl 3.69-3.84
Sr (0.0000, 0.5000, 0.0867) [2 per cell]  6 Tl 3.57-3.62, 6 In 3.76
Tl (0.0000, 0.2021, 0.3837) [4 per cell]  3 In 3.03-3.05, 1 Tl 3.29
In (0.0000, 0.3095, 0.7074) [4 per cell]  3 Tl 3.03-3.05, 1 In 3.10

Results
- ΔE_f: -36 kJ/mol of atoms

(4)
SrTlIn | GGA-PBE | optimized geometry

Cell lengths 4.0687, 5.1659, 9.1134 Å; angles 90.00, 90.76, 90.00 degrees
With the nearest neighbours (Å) after each atom.
Space group P2_1/m (No. 11)
Symmetry-distinct sites (fractional):
Sr (0.0090, 0.2500, 0.2422) [2 per cell]  3 Tl 3.44-3.46, 6 In 3.51-3.68
Tl (0.3922, 0.2500, 0.5815) [2 per cell]  1 In 3.09, 2 Tl 3.11, 1 Sr 3.44
In (0.4692, 0.7500, 0.0845) [2 per cell]  2 In 3.02, 1 Tl 3.09

Results
- ΔE_f: -34 kJ/mol of atoms

(5)
Sr8TlIn2 | GGA-PBE | optimized geometry

Cell lengths 20.3059, 5.8601, 8.1862 Å; angles 90.00, 110.23, 90.00 degrees
With the nearest neighbours (Å) after each atom.
Space group C2/m (No. 12)
Symmetry-distinct sites (fractional):
Sr (0.0271, 0.0000, 0.2854) [4 per cell]  1 In 3.44, 2 Tl 3.56
Sr (0.0979, 0.5000, 0.9483) [4 per cell]  1 Tl 3.52, 2 In 3.62, 4 Sr 3.90-3.91
Sr (0.1670, 0.5000, 0.4562) [4 per cell]  3 In 3.41-3.69, 1 Tl 3.53
Sr (0.1999, 0.0000, 0.8004) [4 per cell]  1 In 3.39
Tl (0.0000, 0.5000, 0.5000) [2 per cell]  8 Sr 3.52-3.56
In (0.1803, 0.0000, 0.1947) [4 per cell]  7 Sr 3.39-3.69

Results
- ΔE_f: -27 kJ/mol of atoms

(6)
SrTlIn3 | GGA-PBE | optimized geometry

Cell lengths 6.1980, 6.1980, 6.1980 Å; angles 90.00, 90.00, 90.00 degrees
With the nearest neighbours (Å) after each atom.
Space group Pm-3m (No. 221)
Symmetry-distinct sites (fractional):
Sr (0.0000, 0.0000, 0.0000) [1 per cell]  6 In 3.10
Tl (0.5000, 0.5000, 0.5000) [1 per cell]  12 In 4.38
In (0.0000, 0.0000, 0.5000) [3 per cell]  2 Sr 3.10

Results
- ΔE_f: 57 kJ/mol of atoms

(7)
Sr2Tl7In2 | GGA-PBE | optimized geometry

Cell lengths 10.7987, 10.4573, 6.7543 Å; angles 90.00, 112.67, 90.00 degrees
With the nearest neighbours (Å) after each atom.
Space group C2/m (No. 12)
Symmetry-distinct sites (fractional):
Sr (0.0000, 0.2107, 0.0000) [4 per cell]  6 Tl 3.48-3.57, 2 In 3.51
Tl (0.0000, 0.0000, 0.5000) [2 per cell]  4 Tl 3.29, 2 In 3.42
Tl (0.0824, 0.5000, 0.3024) [4 per cell]  2 In 3.17-3.35, 2 Tl 3.22
Tl (0.1652, 0.2713, 0.6473) [8 per cell]  4 Tl 3.21-3.35, 2 In 3.26-3.58, 2 Sr 3.48-3.54
In (0.2470, 0.5000, 0.0024) [4 per cell]  5 Tl 3.17-3.42, 2 Sr 3.51

Results
- ΔE_f: -14 kJ/mol of atoms

(8)
Sr3TlIn | GGA-PBE | optimized geometry

Cell lengths 5.8172, 22.5723, 5.8158 Å; angles 90.00, 90.00, 90.00 degrees
With the nearest neighbours (Å) after each atom.
Space group Cmcm (No. 63)
Symmetry-distinct sites (fractional):
Sr (0.0000, 0.0724, 0.2500) [4 per cell]  2 Tl 3.47, 2 In 3.48
Sr (0.0000, 0.2499, 0.2500) [4 per cell]  4 In 3.58, 4 Tl 3.59, 2 Sr 4.00-4.01
Sr (0.0000, 0.4272, 0.2500) [4 per cell]  2 Tl 3.47, 2 In 3.48
Tl (0.0000, 0.3434, 0.7500) [4 per cell]  8 Sr 3.47-3.59
In (0.0000, 0.1573, 0.7500) [4 per cell]  8 Sr 3.48-3.58

Results
- ΔE_f: -35 kJ/mol of atoms

(9)
Sr2TlIn | GGA-PBE | optimized geometry

Cell lengths 9.0588, 9.0588, 7.6340 Å; angles 90.00, 90.00, 90.00 degrees
With the nearest neighbours (Å) after each atom.
Space group I-42d (No. 122)
Symmetry-distinct sites (fractional):
Sr (0.2483, 0.7500, 0.1250) [8 per cell]  2 Tl 3.33, 2 In 3.35
Tl (0.0000, 0.0000, 0.0000) [4 per cell]  4 Sr 3.33
In (0.0000, 0.0000, 0.5000) [4 per cell]  4 Sr 3.35

Results
- ΔE_f: -10 kJ/mol of atoms

(10)
SrTlIn | GGA-PBE | optimized geometry

Cell lengths 4.0693, 5.1830, 9.0715 Å; angles 90.00, 90.16, 90.00 degrees
With the nearest neighbours (Å) after each atom.
Space group P2/m (No. 10)
Symmetry-distinct sites (fractional):
Sr (0.0000, 0.0000, 0.0000) [1 per cell]  4 Tl 3.44-3.84, 8 In 3.50-3.74
Sr (0.0000, 0.5000, 0.5000) [1 per cell]  8 Tl 3.45-3.84, 4 In 3.54-3.80
Tl (0.4140, 0.0000, 0.3314) [2 per cell]  2 In 3.06, 1 Tl 3.14
In (0.4461, 0.5000, 0.8362) [2 per cell]  1 In 3.00, 2 Tl 3.06

Results
- ΔE_f: -34 kJ/mol of atoms

(11)
SrTl2In2 | GGA-PBE | optimized geometry

Cell lengths 24.8689, 4.9383, 4.8739 Å; angles 90.00, 90.27, 90.00 degrees
With the nearest neighbours (Å) after each atom.
Space group C2/m (No. 12)
Symmetry-distinct sites (fractional):
Sr (0.1441, 0.0000, 0.2498) [4 per cell]  8 Tl 3.48-3.61, 4 In 3.48-3.53
Tl (0.1535, 0.5000, 0.7494) [4 per cell]  4 Tl 3.41-3.44, 4 Sr 3.48, 4 In 3.62-3.72
Tl (0.2501, 0.0000, 0.7506) [4 per cell]  8 Tl 3.41-3.47, 4 Sr 3.58-3.61
In (0.0418, 0.0000, 0.7504) [4 per cell]  8 In 3.20-3.47, 2 Sr 3.51-3.53
In (0.0452, 0.5000, 0.2513) [4 per cell]  8 In 3.28-3.47, 2 Sr 3.48, 2 Tl 3.62-3.65

Results
- ΔE_f: -21 kJ/mol of atoms

(12)
SrTlIn2 | GGA-PBE | optimized geometry

Cell lengths 4.7703, 4.7703, 23.3660 Å; angles 90.00, 90.00, 90.00 degrees
With the nearest neighbours (Å) after each atom.
Space group I-42d (No. 122)
Symmetry-distinct sites (fractional):
Sr (0.0000, 0.0000, 0.0000) [4 per cell]  4 Tl 3.37, 4 In 3.42
Tl (0.0000, 0.0000, 0.5000) [4 per cell]  4 In 3.33, 4 Sr 3.37
In (0.2219, 0.2500, 0.6250) [8 per cell]  4 In 3.19-3.57, 2 Tl 3.33, 2 Sr 3.42

Results
- ΔE_f: -9 kJ/mol of atoms

Values of spin magnetization, in order: 0.0 0.0 0.0 0.0 0.0 0.0 0.0 0.0 0.0 0.0 0.0 0.0, all in μB per cell.